Computed, not measured: a relaxed structure of SrCd6Hg4 at the PBE level of DFT.

a = 4.355 Å, b = 8.658 Å, c = 8.658 Å
α = 120.00°, β = 90.00°, γ = 90.00°
Positions (direct):
Hg 0.500 0.374 0.187
Hg 0.000 0.333 0.667
Hg 0.500 0.813 0.626
Hg 0.500 0.813 0.187
Cd 0.500 0.599 0.800
Cd 0.000 0.929 0.464
Cd 0.000 0.536 0.071
Cd 0.000 0.536 0.464
Cd 0.500 0.200 0.800
Cd 0.500 0.200 0.401
Sr 0.000 0.000 0.000

Computed properties:
- Symmetry: P-6m2 (187)
- DFT formation energy: -0.132 eV/atom
- Total magnetization: 0.0 μB per cell
- Offset from the most stable computed form: 0.0 meV per atom